{"formula": "HfZr3Ir", "functional": "GGA-PBE", "state": "optimized geometry", "lattice": [[5.052, 0.000, 0.000], [0.000, 5.052, 0.000], [0.000, 0.000, 5.052]], "species": ["Hf", "Zr", "Zr", "Zr", "Ir"], "frac_coords": [[0.000, 0.000, 0.000], [0.000, 0.500, 0.500], [0.500, 0.000, 0.500], [0.500, 0.500, 0.000], [0.500, 0.500, 0.500]], "e_above_lowest_polymorph_ev_per_atom": 0.2623, "energy_ev_per_atom": -8.594, "magmom_total_mub_per_cell": 0.00, "delta_e_f_ev_per_atom": 0.2976}